AcBeMoO4 | PBE+U | relaxed Values from VASP.

Output
**DFT total energy**: -7.24 eV per atom

Cell and atoms, written as Quantum ESPRESSO input:
```
&SYSTEM
  ibrav = 0, nat = 14, ntyp = 4
/
ATOMIC_SPECIES
O 16.00 O.upf
Mo 95.94 Mo.upf
Be 9.01 Be.upf
Ac 227.00 Ac.upf
CELL_PARAMETERS angstrom
6.3003 0.0000 0.0000
3.1502 6.1934 -0.6242
3.1502 1.2922 6.0891
ATOMIC_POSITIONS crystal
O 0.2516 0.8243 0.6725
O 0.7484 0.1757 0.3275
O 0.7441 0.2415 0.7415
O 0.2516 0.1725 0.3243
O 0.2559 0.7585 0.2585
O 0.2728 0.2415 0.7415
O 0.7484 0.8275 0.6757
O 0.7272 0.7585 0.2585
Mo 0.5000 0.0000 0.5000
Mo 0.0000 0.0000 0.5000
Be 0.4941 0.7559 0.2559
Be 0.5059 0.2441 0.7441
Ac 0.0000 0.0000 0.0000
Ac 0.0000 0.5000 0.5000
```